Compound: Pr2Al2Cu3
Source: the Alexandria database
Functional: PBE-GGA
Structure: relaxed

Unit cell a=8.447 b=8.447 c=8.447 alpha=90.00 beta=90.00 gamma=90.00
Space group I2_13 (No. 199)
Asymmetric unit:
1 Pr 0.235 0.265 0.735 x8
2 Al 0.028 0.472 0.528 x8
3 Cu 0.000 0.250 0.041 x12

Output
E_form: -0.116 eV/atom
Final energy: -4.307 eV per atom